[1]
DFT (GGA-PBEsol) results for crystalline Na2AlGa2 at its relaxed geometry.

a = 6.683 Å, b = 6.683 Å, c = 4.925 Å
α = 90.00°, β = 90.00°, γ = 90.00°
Fractional positions:
Na 0.175 0.325 0.000
Na 0.325 0.825 0.000
Na 0.675 0.175 0.000
Na 0.825 0.675 0.000
Al 0.000 0.000 0.500
Al 0.500 0.500 0.500
Ga 0.132 0.632 0.500
Ga 0.368 0.132 0.500
Ga 0.632 0.868 0.500
Ga 0.868 0.368 0.500

Energy above the lowest structure with this stoichiometry in meV/atom: 0
Total energy in eV per formula unit: -13.596
Calculated formation energy in meV/atom: -5
Spin magnetization in μB per cell: 0.00
SG: No. 127



[2]
DFT (GGA-PBEsol) results for crystalline IrOsRu2 at its relaxed geometry.

a = 5.366 Å, b = 7.596 Å, c = 2.680 Å
α = 90.00°, β = 90.00°, γ = 90.00°
Fractional positions:
Ir 0.000 0.000 0.000
Ir 0.500 0.500 0.000
Os 0.000 0.500 0.000
Os 0.500 0.000 0.000
Ru 0.250 0.250 0.500
Ru 0.250 0.750 0.500
Ru 0.750 0.250 0.500
Ru 0.750 0.750 0.500

Energy above the lowest structure with this stoichiometry in meV/atom: 4
Total energy in eV per formula unit: -42.224
Calculated formation energy in meV/atom: 40
Spin magnetization in μB per cell: 0.00
SG: No. 65



[3]
DFT (GGA-PBEsol) results for crystalline WBrCl2 at its relaxed geometry.

a = 2.978 Å, b = 2.978 Å, c = 8.840 Å
α = 90.00°, β = 90.00°, γ = 90.00°
Fractional positions:
W 0.000 0.000 0.000
Br 0.000 0.000 0.500
Cl 0.500 0.500 0.165
Cl 0.500 0.500 0.835

Energy above the lowest structure with this stoichiometry in meV/atom: 549
Total energy in eV per formula unit: -18.931
Spin magnetization in μB per cell: 0.00
Uncorrected formation energy in meV per atom: 191
SG: No. 123



[4]
DFT (GGA-PBEsol) results for crystalline Ce2Si5Ir3 at its relaxed geometry.

a = 8.124 Å, b = 8.124 Å, c = 8.124 Å
α = 104.42°, β = 90.47°, γ = 137.97°
Fractional positions:
Ce 0.131 0.230 0.361
Ce 0.369 0.730 0.099
Ce 0.631 0.270 0.901
Ce 0.869 0.770 0.639
Si 0.023 0.750 0.273
Si 0.108 0.653 0.761
Si 0.250 0.250 0.000
Si 0.392 0.153 0.545
Si 0.477 0.750 0.727
Si 0.523 0.250 0.273
Si 0.608 0.847 0.455
Si 0.750 0.750 0.000
Si 0.892 0.347 0.239
Si 0.977 0.250 0.727
Ir 0.139 0.885 0.024
Ir 0.250 0.750 0.500
Ir 0.361 0.385 0.746
Ir 0.639 0.615 0.254
Ir 0.750 0.250 0.500
Ir 0.861 0.115 0.976

Total energy in eV per formula unit: -81.560
Spin magnetization in μB per cell: 0.00
Uncorrected formation energy in meV per atom: -1017
SG: No. 72



[5]
DFT (GGA-PBEsol) results for crystalline ZrNiMo at its relaxed geometry.

a = 2.755 Å, b = 2.755 Å, c = 12.117 Å
α = 90.00°, β = 90.00°, γ = 90.00°
Fractional positions:
Zr 0.000 0.000 0.000
Zr 0.500 0.500 0.500
Ni 0.000 0.000 0.665
Ni 0.500 0.500 0.165
Mo 0.000 0.000 0.305
Mo 0.500 0.500 0.805

Total energy in eV per formula unit: -27.052
Calculated formation energy in meV/atom: -12
Spin magnetization in μB per cell: 0.00
SG: No. 107



[6]
DFT (GGA-PBEsol) results for crystalline NdMg3 at its relaxed geometry.

a = 7.340 Å, b = 7.340 Å, c = 7.340 Å
α = 90.00°, β = 90.00°, γ = 90.00°
Fractional positions:
Nd 0.000 0.000 0.000
Nd 0.000 0.500 0.500
Nd 0.500 0.000 0.500
Nd 0.500 0.500 0.000
Mg 0.000 0.000 0.500
Mg 0.000 0.500 0.000
Mg 0.250 0.250 0.250
Mg 0.250 0.250 0.750
Mg 0.250 0.750 0.250
Mg 0.250 0.750 0.750
Mg 0.500 0.000 0.000
Mg 0.500 0.500 0.500
Mg 0.750 0.250 0.250
Mg 0.750 0.250 0.750
Mg 0.750 0.750 0.250
Mg 0.750 0.750 0.750

Total energy in eV per formula unit: -10.816
Calculated formation energy in meV/atom: -124
Spin magnetization in μB per cell: 0.00
SG: No. 225



Number 4 is which compound?
Ce2Si5Ir3